Record 1
Here is a geometry-optimized CrReMo structure from Alexandria. Energies are from PBEsol.

a = 4.2560 Å, b = 4.2560 Å, c = 2.6427 Å
α = 90.00°, β = 90.00°, γ = 120.00°
Space group P3m1 (No. 156)
Asymmetric unit:
Cr 0.0000 0.0000 0.0000 [1 per cell]
Re 0.6667 0.3333 0.6760 [1 per cell]
Mo 0.3333 0.6667 0.3251 [1 per cell]

- distance to the lowest polymorph of the same formula (eV/atom) = 0.011



Record 2
Here is a geometry-optimized CrReMo2 structure from Alexandria. Energies are from PBEsol.

a = 6.171 Å, b = 6.171 Å, c = 6.171 Å
α = 90.00°, β = 90.00°, γ = 90.00°
Space group F-43m (No. 216)
Asymmetric unit:
Cr 0.000 0.000 0.000 [4 per cell]
Re 0.250 0.250 0.750 [4 per cell]
Mo 0.000 0.000 0.500 [4 per cell]
Mo 0.250 0.250 0.250 [4 per cell]

- distance to the lowest polymorph of the same formula (eV/atom) = 0.007



Record 3
Here is a geometry-optimized Cr2ReMo structure from Alexandria. Energies are from PBEsol.

a = 4.199 Å, b = 4.199 Å, c = 2.964 Å
α = 90.00°, β = 90.00°, γ = 90.00°
Space group P4/mmm (No. 123)
Asymmetric unit:
Cr 0.000 0.500 0.000 [2 per cell]
Re 0.000 0.000 0.500 [1 per cell]
Mo 0.500 0.500 0.500 [1 per cell]

- raw total energy (eV/atom) = -11.3511



Record 4
Here is a geometry-optimized Cr2ReMo structure from Alexandria. Energies are from PBEsol.

a = 2.605 Å, b = 4.193 Å, c = 4.916 Å
α = 90.00°, β = 100.37°, γ = 90.00°
Space group Pm (No. 6)
Asymmetric unit:
Cr 0.000 0.000 0.000 [1 per cell]
Cr 0.253 0.500 0.760 [1 per cell]
Re 0.507 0.000 0.518 [1 per cell]
Mo 0.756 0.500 0.246 [1 per cell]

- raw total energy (eV/atom) = -11.3088



Record 5
Here is a geometry-optimized CrReMo2 structure from Alexandria. Energies are from PBEsol.

a = 2.658 Å, b = 4.297 Å, c = 5.055 Å
α = 90.00°, β = 100.43°, γ = 90.00°
Space group P2/m (No. 10)
Asymmetric unit:
Cr 0.000 0.000 0.000 [1 per cell]
Re 0.500 0.000 0.500 [1 per cell]
Mo 0.246 0.500 0.755 [2 per cell]

- distance to the lowest polymorph of the same formula (eV/atom) = 0.021



Record 6
Here is a geometry-optimized CrReMo2 structure from Alexandria. Energies are from PBEsol.

a = 3.062 Å, b = 4.343 Å, c = 8.537 Å
α = 90.00°, β = 90.00°, γ = 90.00°
Space group Cmm2 (No. 35)
Asymmetric unit:
Cr 0.000 0.000 0.000 [2 per cell]
Re 0.000 0.500 0.235 [2 per cell]
Mo 0.000 0.000 0.497 [2 per cell]
Mo 0.000 0.500 0.760 [2 per cell]

- distance to the lowest polymorph of the same formula (eV/atom) = 0.037



Record 7
Here is a geometry-optimized CrMo2Ru structure from Alexandria. Energies are from PBEsol.

a = 3.403 Å, b = 4.071 Å, c = 8.056 Å
α = 90.00°, β = 90.00°, γ = 90.00°
Space group Cmm2 (No. 35)
Asymmetric unit:
Cr 0.000 0.000 0.000 [2 per cell]
Mo 0.000 0.000 0.531 [2 per cell]
Mo 0.000 0.500 0.251 [2 per cell]
Ru 0.000 0.500 0.789 [2 per cell]

- distance to the lowest polymorph of the same formula (eV/atom) = 0.017



Record 8
Here is a geometry-optimized CrMoRu2 structure from Alexandria. Energies are from PBEsol.

a = 2.656 Å, b = 4.092 Å, c = 5.110 Å
α = 90.00°, β = 104.29°, γ = 90.00°
Space group P2/m (No. 10)
Asymmetric unit:
Cr 0.000 0.000 0.000 [1 per cell]
Mo 0.000 0.000 0.500 [1 per cell]
Ru 0.379 0.500 0.235 [2 per cell]

- distance to the lowest polymorph of the same formula (eV/atom) = 0.052



Record 9
Here is a geometry-optimized CrMoRu2 structure from Alexandria. Energies are from PBEsol.

a = 3.797 Å, b = 3.797 Å, c = 7.424 Å
α = 90.00°, β = 90.00°, γ = 90.00°
Space group I4/mmm (No. 139)
Asymmetric unit:
Cr 0.000 0.000 0.000 [2 per cell]
Mo 0.000 0.000 0.500 [2 per cell]
Ru 0.000 0.500 0.250 [4 per cell]

- distance to the lowest polymorph of the same formula (eV/atom) = 0.000



Record 10
Here is a geometry-optimized CrMoRu2 structure from Alexandria. Energies are from PBEsol.

a = 6.045 Å, b = 6.045 Å, c = 6.045 Å
α = 90.00°, β = 90.00°, γ = 90.00°
Space group Fm-3m (No. 225)
Asymmetric unit:
Cr 0.000 0.000 0.000 [4 per cell]
Mo 0.000 0.000 0.500 [4 per cell]
Ru 0.250 0.250 0.250 [8 per cell]

- distance to the lowest polymorph of the same formula (eV/atom) = 0.132



Record 11
Here is a geometry-optimized CrMo2Ru structure from Alexandria. Energies are from PBEsol.

a = 3.051 Å, b = 4.273 Å, c = 4.298 Å
α = 90.00°, β = 90.00°, γ = 90.00°
Space group Pmmm (No. 47)
Asymmetric unit:
Cr 0.000 0.000 0.000 [1 per cell]
Mo 0.000 0.500 0.500 [1 per cell]
Mo 0.500 0.500 0.000 [1 per cell]
Ru 0.500 0.000 0.500 [1 per cell]

- distance to the lowest polymorph of the same formula (eV/atom) = 0.002



Record 12
Here is a geometry-optimized CrMoRu2 structure from Alexandria. Energies are from PBEsol.

a = 2.6739 Å, b = 2.6739 Å, c = 26.1492 Å
α = 90.00°, β = 90.00°, γ = 120.00°
Space group R3m (No. 160, hexagonal axes)
Asymmetric unit:
Cr 0.0000 0.0000 0.0000 [3 per cell]
Mo 0.0000 0.0000 0.7541 [3 per cell]
Ru 0.0000 0.0000 0.2583 [3 per cell]
Ru 0.0000 0.0000 0.5037 [3 per cell]

- distance to the lowest polymorph of the same formula (eV/atom) = 0.102



Record 13
Here is a geometry-optimized CrMo2Ru structure from Alexandria. Energies are from PBEsol.

a = 9.066 Å, b = 2.716 Å, c = 4.619 Å
α = 90.00°, β = 100.57°, γ = 90.00°
Space group Cm (No. 8)
Asymmetric unit:
Cr 0.000 0.000 0.000 [2 per cell]
Mo 0.249 0.000 0.798 [2 per cell]
Mo 0.474 0.000 0.485 [2 per cell]
Ru 0.222 0.500 0.281 [2 per cell]

- distance to the lowest polymorph of the same formula (eV/atom) = 0.078



Record 14
Here is a geometry-optimized CrMo2Ru structure from Alexandria. Energies are from PBEsol.

a = 2.675 Å, b = 4.180 Å, c = 5.063 Å
α = 90.00°, β = 101.18°, γ = 90.00°
Space group P2/m (No. 10)
Asymmetric unit:
Cr 0.000 0.000 0.000 [1 per cell]
Mo 0.222 0.500 0.757 [2 per cell]
Ru 0.500 0.000 0.500 [1 per cell]

- distance to the lowest polymorph of the same formula (eV/atom) = 0.000



Record 15
Here is a geometry-optimized Cr4MoRu structure from Alexandria. Energies are from PBEsol.

a = 6.654 Å, b = 6.654 Å, c = 6.654 Å
α = 90.00°, β = 90.00°, γ = 90.00°
Space group F-43m (No. 216)
Asymmetric unit:
Cr 0.124 0.124 0.124 [16 per cell]
Mo 0.250 0.250 0.750 [4 per cell]
Ru 0.000 0.000 0.500 [4 per cell]

- raw total energy (eV/atom) = -10.4008



Record 16
Here is a geometry-optimized Cr2TeMoRu structure from Alexandria. Energies are from PBEsol.

a = 4.457 Å, b = 4.457 Å, c = 5.019 Å
α = 90.00°, β = 90.00°, γ = 90.00°
Space group P4/mmm (No. 123)
Asymmetric unit:
Cr 0.000 0.500 0.000 [2 per cell]
Te 0.000 0.000 0.500 [1 per cell]
Mo 0.000 0.000 0.000 [1 per cell]
Ru 0.500 0.500 0.500 [1 per cell]

- raw total energy (eV/atom) = -7.4547



| no. | magnetization (Bohr magnetons per cell) |
| --- | --- |
| 1 | 0.00 |
| 2 | 0.00 |
| 3 | 0.00 |
| 4 | 0.00 |
| 5 | 0.00 |
| 6 | 0.00 |
| 7 | 0.00 |
| 8 | 0.00 |
| 9 | 0.01 |
| 10 | 13.65 |
| 11 | 1.67 |
| 12 | 0.01 |
| 13 | 0.00 |
| 14 | 0.00 |
| 15 | 0.00 |
| 16 | 4.08 |